Li3NiOF3 (PBE+U, relaxed); calculated total energy = -4.763 eV/atom
1.0
4.860 -1.480 0.000
4.860 1.480 0.000
-1.831 0.000 9.994
Li Ni O F
6 2 2 6
Direct
0.000 0.000 0.000
0.000 0.000 0.500
0.250 0.250 0.882
0.497 0.497 0.745
0.503 0.503 0.255
0.750 0.750 0.118
0.244 0.244 0.383
0.756 0.756 0.617
0.373 0.373 0.565
0.627 0.627 0.435
0.125 0.125 0.181
0.130 0.130 0.699
0.375 0.375 0.061
0.625 0.625 0.939
0.870 0.870 0.301
0.875 0.875 0.819